No. 1
# PuSiTc2 (PBE, optimized geometry)
data_PuSiTc2
_symmetry_space_group_name_H-M 'P 1'
_symmetry_Int_Tables_number 1
_cell_length_a 4.2842
_cell_length_b 4.2842
_cell_length_c 3.4826
_cell_angle_alpha 90.00
_cell_angle_beta 90.00
_cell_angle_gamma 90.00
loop_
_symmetry_equiv_pos_as_xyz
'x,y,z'
loop_
_atom_site_label
_atom_site_type_symbol
_atom_site_fract_x
_atom_site_fract_y
_atom_site_fract_z
_atom_site_occupancy
Pu1 Pu 0.0000 0.0000 0.0000 1
Si1 Si 0.5000 0.5000 0.0000 1
Tc1 Tc 0.0000 0.5000 0.5000 1
Tc2 Tc 0.5000 0.0000 0.5000 1
# DFT total energy: -10.30 eV per atom
# volume: 15.98 A^3/atom
# E_form (uncorrected): -0.17 eV per atom
# crystal system: tetragonal
# symmetry: P4/mmm
# energy above the lowest structure with this stoichiometry: 0.0394 eV per atom

No. 2
# PmNdCuSe4 (PBE, optimized geometry)
data_PmNdCuSe4
_symmetry_space_group_name_H-M 'P 1'
_symmetry_Int_Tables_number 1
_cell_length_a 7.1613
_cell_length_b 5.8720
_cell_length_c 8.3310
_cell_angle_alpha 90.00
_cell_angle_beta 106.90
_cell_angle_gamma 90.00
loop_
_symmetry_equiv_pos_as_xyz
'x,y,z'
loop_
_atom_site_label
_atom_site_type_symbol
_atom_site_fract_x
_atom_site_fract_y
_atom_site_fract_z
_atom_site_occupancy
Pm1 Pm 0.2304 0.2500 0.4331 1
Pm2 Pm 0.7696 0.7500 0.5669 1
Nd1 Nd 0.2391 0.2500 0.9335 1
Nd2 Nd 0.7609 0.7500 0.0665 1
Cu1 Cu 0.2369 0.7500 0.6844 1
Cu2 Cu 0.7631 0.2500 0.3156 1
Se1 Se 0.0738 0.7500 0.8969 1
Se2 Se 0.0750 0.7500 0.3899 1
Se3 Se 0.4873 0.5090 0.2483 1
Se4 Se 0.4873 0.9910 0.2483 1
Se5 Se 0.5127 0.0090 0.7517 1
Se6 Se 0.5127 0.4910 0.7517 1
Se7 Se 0.9250 0.2500 0.6101 1
Se8 Se 0.9262 0.2500 0.1031 1
# DFT total energy: -5.32 eV per atom
# volume: 23.94 A^3/atom
# E_form (uncorrected): -1.38 eV per atom
# crystal system: monoclinic
# symmetry: P2_1/m

No. 3
# Sr2ScSn4Pd3 (PBE, optimized geometry)
data_Sr2ScSn4Pd3
_symmetry_space_group_name_H-M 'P 1'
_symmetry_Int_Tables_number 1
_cell_length_a 4.5302
_cell_length_b 4.5302
_cell_length_c 12.0555
_cell_angle_alpha 90.00
_cell_angle_beta 90.00
_cell_angle_gamma 90.00
loop_
_symmetry_equiv_pos_as_xyz
'x,y,z'
loop_
_atom_site_label
_atom_site_type_symbol
_atom_site_fract_x
_atom_site_fract_y
_atom_site_fract_z
_atom_site_occupancy
Sr1 Sr 0.0000 0.5000 0.2439 1
Sr2 Sr 0.5000 0.0000 0.7561 1
Sc1 Sc 0.0000 0.0000 0.5000 1
Sn1 Sn 0.0000 0.0000 0.0000 1
Sn2 Sn 0.0000 0.5000 0.6478 1
Sn3 Sn 0.5000 0.0000 0.3522 1
Sn4 Sn 0.5000 0.5000 0.0000 1
Pd1 Pd 0.0000 0.5000 0.8720 1
Pd2 Pd 0.5000 0.0000 0.1280 1
Pd3 Pd 0.5000 0.5000 0.5000 1
# DFT total energy: -4.80 eV per atom
# volume: 24.74 A^3/atom
# E_form: -673 meV per atom
# crystal system: tetragonal
# symmetry: P-4m2

No. 4
# ScInW (PBE, optimized geometry)
data_ScInW
_symmetry_space_group_name_H-M 'P 1'
_symmetry_Int_Tables_number 1
_cell_length_a 7.1458
_cell_length_b 7.1440
_cell_length_c 2.9317
_cell_angle_alpha 78.20
_cell_angle_beta 78.13
_cell_angle_gamma 23.68
loop_
_symmetry_equiv_pos_as_xyz
'x,y,z'
loop_
_atom_site_label
_atom_site_type_symbol
_atom_site_fract_x
_atom_site_fract_y
_atom_site_fract_z
_atom_site_occupancy
Sc1 Sc 0.0000 0.0000 0.0000 1
In1 In 0.3184 0.3184 0.6816 1
W1 W 0.6569 0.6569 0.3431 1
# DFT total energy: -7.15 eV per atom
# volume: 19.59 A^3/atom
# E_form: 187 meV per atom
# crystal system: orthorhombic
# symmetry: Fmm2
# energy above the lowest structure with this stoichiometry: 0.0000 eV per atom

No. 5
# ZnSiP2S (PBE, optimized geometry)
data_ZnSiP2S
_symmetry_space_group_name_H-M 'P 1'
_symmetry_Int_Tables_number 1
_cell_length_a 4.6189
_cell_length_b 4.6189
_cell_length_c 4.4621
_cell_angle_alpha 90.00
_cell_angle_beta 90.00
_cell_angle_gamma 90.00
loop_
_symmetry_equiv_pos_as_xyz
'x,y,z'
loop_
_atom_site_label
_atom_site_type_symbol
_atom_site_fract_x
_atom_site_fract_y
_atom_site_fract_z
_atom_site_occupancy
Zn1 Zn 0.0000 0.0000 0.0000 1
Si1 Si 0.5000 0.5000 0.0000 1
P1 P 0.0000 0.5000 0.5000 1
P2 P 0.5000 0.0000 0.5000 1
S1 S 0.0000 0.0000 0.5000 1
# DFT total energy: -3.42 eV per atom
# volume: 19.04 A^3/atom
# E_form (uncorrected): 0.91 eV per atom
# crystal system: tetragonal
# symmetry: P4/mmm
# energy above the lowest structure with this stoichiometry: 0.2560 eV per atom

No. 6
# CsMgP2Pd (PBE, optimized geometry)
data_CsMgP2Pd
_symmetry_space_group_name_H-M 'P 1'
_symmetry_Int_Tables_number 1
_cell_length_a 5.4623
_cell_length_b 5.4623
_cell_length_c 5.1894
_cell_angle_alpha 90.00
_cell_angle_beta 90.00
_cell_angle_gamma 90.00
loop_
_symmetry_equiv_pos_as_xyz
'x,y,z'
loop_
_atom_site_label
_atom_site_type_symbol
_atom_site_fract_x
_atom_site_fract_y
_atom_site_fract_z
_atom_site_occupancy
Cs1 Cs 0.0000 0.0000 0.0000 1
Mg1 Mg 0.5000 0.5000 0.5000 1
P1 P 0.0000 0.5000 0.0000 1
P2 P 0.5000 0.0000 0.0000 1
Pd1 Pd 0.0000 0.0000 0.5000 1
# DFT total energy: -2.07 eV per atom
# volume: 30.97 A^3/atom
# E_form: 1627 meV per atom
# crystal system: tetragonal
# symmetry: P4/mmm

No. 7
# AcPr3S (PBE, optimized geometry)
data_AcPr3S
_symmetry_space_group_name_H-M 'P 1'
_symmetry_Int_Tables_number 1
_cell_length_a 5.6273
_cell_length_b 5.6273
_cell_length_c 5.6273
_cell_angle_alpha 90.00
_cell_angle_beta 90.00
_cell_angle_gamma 90.00
loop_
_symmetry_equiv_pos_as_xyz
'x,y,z'
loop_
_atom_site_label
_atom_site_type_symbol
_atom_site_fract_x
_atom_site_fract_y
_atom_site_fract_z
_atom_site_occupancy
Ac1 Ac 0.0000 0.0000 0.0000 1
Pr1 Pr 0.0000 0.5000 0.5000 1
Pr2 Pr 0.5000 0.0000 0.5000 1
Pr3 Pr 0.5000 0.5000 0.0000 1
S1 S 0.5000 0.5000 0.5000 1
# DFT total energy: -5.21 eV per atom
# volume: 35.64 A^3/atom
# E_form (uncorrected): -0.70 eV per atom
# crystal system: cubic
# symmetry: Pm-3m

No. 8
# LaPr2DyTl2 (PBE, optimized geometry)
data_LaPr2DyTl2
_symmetry_space_group_name_H-M 'P 1'
_symmetry_Int_Tables_number 1
_cell_length_a 5.2737
_cell_length_b 10.3522
_cell_length_c 6.9946
_cell_angle_alpha 90.00
_cell_angle_beta 90.00
_cell_angle_gamma 90.00
loop_
_symmetry_equiv_pos_as_xyz
'x,y,z'
loop_
_atom_site_label
_atom_site_type_symbol
_atom_site_fract_x
_atom_site_fract_y
_atom_site_fract_z
_atom_site_occupancy
La1 La 0.0000 0.0451 0.0000 1
La2 La 0.0000 0.9549 0.5000 1
Pr1 Pr 0.0000 0.3178 0.3739 1
Pr2 Pr 0.0000 0.6822 0.8739 1
Pr3 Pr 0.5000 0.4525 0.1002 1
Pr4 Pr 0.5000 0.5475 0.6002 1
Dy1 Dy 0.5000 0.1912 0.7205 1
Dy2 Dy 0.5000 0.8088 0.2205 1
Tl1 Tl 0.0000 0.3580 0.8392 1
Tl2 Tl 0.0000 0.6420 0.3392 1
Tl3 Tl 0.5000 0.1273 0.2666 1
Tl4 Tl 0.5000 0.8727 0.7666 1
# DFT total energy: -4.24 eV per atom
# volume: 31.82 A^3/atom
# E_form: -272 meV per atom
# crystal system: orthorhombic
# symmetry: Pmc2_1

No. 9
# DyMgOs (PBE, optimized geometry)
data_DyMgOs
_symmetry_space_group_name_H-M 'P 1'
_symmetry_Int_Tables_number 1
_cell_length_a 8.3060
_cell_length_b 8.3060
_cell_length_c 4.1516
_cell_angle_alpha 90.00
_cell_angle_beta 90.00
_cell_angle_gamma 148.82
loop_
_symmetry_equiv_pos_as_xyz
'x,y,z'
loop_
_atom_site_label
_atom_site_type_symbol
_atom_site_fract_x
_atom_site_fract_y
_atom_site_fract_z
_atom_site_occupancy
Dy1 Dy 0.0877 0.9123 0.7500 1
Dy2 Dy 0.9123 0.0877 0.2500 1
Mg1 Mg 0.2575 0.7425 0.2500 1
Mg2 Mg 0.7425 0.2575 0.7500 1
Os1 Os 0.4642 0.5358 0.7500 1
Os2 Os 0.5358 0.4642 0.2500 1
# DFT total energy: -5.67 eV per atom
# volume: 24.71 A^3/atom
# E_form: 136 meV per atom
# crystal system: orthorhombic
# symmetry: Cmcm

No. 10
# TlCr2Bi (PBE, optimized geometry)
data_TlCr2Bi
_symmetry_space_group_name_H-M 'P 1'
_symmetry_Int_Tables_number 1
_cell_length_a 6.3553
_cell_length_b 6.3553
_cell_length_c 6.3553
_cell_angle_alpha 105.21
_cell_angle_beta 105.21
_cell_angle_gamma 118.38
loop_
_symmetry_equiv_pos_as_xyz
'x,y,z'
loop_
_atom_site_label
_atom_site_type_symbol
_atom_site_fract_x
_atom_site_fract_y
_atom_site_fract_z
_atom_site_occupancy
Tl1 Tl 0.0000 0.0000 0.0000 1
Tl2 Tl 0.7500 0.2500 0.5000 1
Cr1 Cr 0.1270 0.6250 0.0020 1
Cr2 Cr 0.3750 0.3770 0.5020 1
Cr3 Cr 0.6230 0.1250 0.9980 1
Cr4 Cr 0.8750 0.8730 0.4980 1
Bi1 Bi 0.2500 0.7500 0.5000 1
Bi2 Bi 0.5000 0.5000 0.0000 1
# DFT total energy: -5.56 eV per atom
# volume: 24.25 A^3/atom
# E_form: 809 meV per atom
# crystal system: tetragonal
# symmetry: I-42d

No. 11
# VAu3 (PBE, optimized geometry)
data_VAu3
_symmetry_space_group_name_H-M 'P 1'
_symmetry_Int_Tables_number 1
_cell_length_a 4.9639
_cell_length_b 4.9639
_cell_length_c 4.9639
_cell_angle_alpha 130.48
_cell_angle_beta 130.48
_cell_angle_gamma 72.63
loop_
_symmetry_equiv_pos_as_xyz
'x,y,z'
loop_
_atom_site_label
_atom_site_type_symbol
_atom_site_fract_x
_atom_site_fract_y
_atom_site_fract_z
_atom_site_occupancy
V1 V 0.0000 0.0000 0.0000 1
Au1 Au 0.2500 0.7500 0.5000 1
Au2 Au 0.5000 0.5000 0.0000 1
Au3 Au 0.7500 0.2500 0.5000 1
# DFT total energy: -4.69 eV per atom
# volume: 17.28 A^3/atom
# E_form: 49 meV per atom
# crystal system: tetragonal
# symmetry: I4/mmm

No. 12
# PrRh4O8 (PBE, optimized geometry)
data_PrRh4O8
_symmetry_space_group_name_H-M 'P 1'
_symmetry_Int_Tables_number 1
_cell_length_a 6.4527
_cell_length_b 6.4527
_cell_length_c 6.4527
_cell_angle_alpha 58.04
_cell_angle_beta 58.04
_cell_angle_gamma 58.04
loop_
_symmetry_equiv_pos_as_xyz
'x,y,z'
loop_
_atom_site_label
_atom_site_type_symbol
_atom_site_fract_x
_atom_site_fract_y
_atom_site_fract_z
_atom_site_occupancy
Pr1 Pr 0.0000 0.0000 0.0000 1
Rh1 Rh 0.0000 0.0000 0.5000 1
Rh2 Rh 0.0000 0.5000 0.0000 1
Rh3 Rh 0.5000 0.0000 0.0000 1
Rh4 Rh 0.5000 0.5000 0.5000 1
O1 O 0.2237 0.2237 0.2237 1
O2 O 0.2313 0.7304 0.7304 1
O3 O 0.2696 0.2696 0.7687 1
O4 O 0.2696 0.7687 0.2696 1
O5 O 0.7304 0.2313 0.7304 1
O6 O 0.7304 0.7304 0.2313 1
O7 O 0.7687 0.2696 0.2696 1
O8 O 0.7763 0.7763 0.7763 1
# DFT total energy: -6.85 eV per atom
# volume: 13.96 A^3/atom
# E_form (uncorrected): -1.17 eV per atom
# crystal system: trigonal
# symmetry: R-3m